The following is a DFT calculation (GGA-PBE) of an optimized crystal structure of Cd4Pb.

abc: 7.303 7.303 4.663
angles: 90.00 90.00 90.00
Space group I4/m (No. 87)
Inequivalent atoms, fractional coordinates:
Cd 0.088 0.305 0.000 [8 per cell]
Pb 0.000 0.000 0.500 [2 per cell]

Computed properties:
Excess energy over the best structure of this formula in the dataset ... 0.007 eV/atom
DOS(E_F) ... 0.354 states/eV per atom
Size of the total moment ... 0.000 μB/f.u.
Calculated density ... 8.77 g cm⁻³
ΔH_f (0 K) ... 0.04 eV/atom